Record 1
Here is a geometry-optimized CaLa2Ag structure from Alexandria via LeMat-Bulk. Energies are from PBE-GGA.

Properties
The value obtained for the calculated total energy is -14.28 eV per formula unit. The energy of formation from the pure elements is 10 kJ per mole of atoms. The calculation puts the volume at 487.2 Å³ per cell.

a = 7.8686 Å, b = 7.8686 Å, c = 7.8686 Å
α = 90.00°, β = 90.00°, γ = 90.00°
Space group F-43m (No. 216)
Asymmetric unit:
Ca: 0.0000 0.0000 0.0000 x4
La: 0.0000 0.0000 0.5000 x4
La: 0.2500 0.2500 0.7500 x4
Ag: 0.2500 0.2500 0.2500 x4



Record 2
Here is a geometry-optimized PmYCo2 structure from Alexandria via LeMat-Bulk. Energies are from PBE-GGA.

Properties
The value obtained for the calculated total energy is -25.62 eV per formula unit. The energy of formation from the pure elements is -5 kJ per mole of atoms. The calculation puts the volume at 313.6 Å³ per cell.

a = 6.7941 Å, b = 6.7941 Å, c = 6.7941 Å
α = 90.00°, β = 90.00°, γ = 90.00°
Space group Fm-3m (No. 225)
Asymmetric unit:
Pm: 0.0000 0.0000 0.0000 x4
Y: 0.0000 0.0000 0.5000 x4
Co: 0.2500 0.2500 0.2500 x8



Record 3
Here is a geometry-optimized Ag3SCl2 structure from Alexandria via LeMat-Bulk. Energies are from PBE-GGA.

Properties
The value obtained for the calculated total energy is -17.78 eV per formula unit. The formation energy (no corrections) comes out at -23 kJ per mole of atoms. The calculation puts the volume at 609.2 Å³ per cell.

a = 9.7861 Å, b = 4.3408 Å, c = 14.3400 Å
α = 90.00°, β = 90.00°, γ = 90.00°
Space group Pnma (No. 62)
Asymmetric unit:
Ag: 0.0392 0.2500 0.0611 x4
Ag: 0.1598 0.2500 0.4485 x4
Ag: 0.1886 0.2500 0.7046 x4
S: 0.1589 0.7500 0.0673 x4
Cl: 0.0527 0.7500 0.3910 x4
Cl: 0.1442 0.7500 0.7925 x4



Record 4
Here is a geometry-optimized KNiP structure from Alexandria via LeMat-Bulk. Energies are from PBE-GGA.

Properties
The value obtained for the calculated total energy is -13.61 eV per formula unit. The energy of formation from the pure elements is -42 kJ per mole of atoms. The calculation puts the volume at 145.6 Å³ per cell.

a = 3.9784 Å, b = 6.2025 Å, c = 6.4932 Å
α = 106.49°, β = 107.81°, γ = 90.09°
Space group P-1 (No. 2)
Asymmetric unit:
K: 0.0978 0.3059 0.1952 x2
Ni: 0.2076 0.8854 0.4157 x2
P: 0.3620 0.1794 0.7235 x2



Record 5
Here is a geometry-optimized RbZn structure from Alexandria via LeMat-Bulk. Energies are from PBE-GGA.

Properties
The value obtained for the calculated total energy is -1.25 eV per formula unit. The energy of formation from the pure elements is 48 kJ per mole of atoms. The calculation puts the volume at 547.1 Å³ per cell.

a = 8.1786 Å, b = 8.1786 Å, c = 8.1786 Å
α = 90.00°, β = 90.00°, γ = 90.00°
Space group F-43m (No. 216)
Asymmetric unit:
Rb: 0.0000 0.0000 0.0000 x4
Zn: 0.2500 0.2500 0.2500 x4



Record 6
Here is a geometry-optimized SmEuLu structure from Alexandria via LeMat-Bulk. Energies are from PBE-GGA.

Properties
The value obtained for the calculated total energy is -19.32 eV per formula unit. The energy of formation from the pure elements is 6 kJ per mole of atoms. The calculation puts the volume at 204.9 Å³ per cell.

a = 3.6513 Å, b = 3.6513 Å, c = 15.3695 Å
α = 90.00°, β = 90.00°, γ = 90.00°
Space group I4mm (No. 107)
Asymmetric unit:
Sm: 0.0000 0.0000 0.0000 x2
Eu: 0.0000 0.0000 0.3222 x2
Lu: 0.0000 0.0000 0.6499 x2



Record 7
Here is a geometry-optimized BaZr2Co structure from Alexandria via LeMat-Bulk. Energies are from PBE-GGA.

Properties
The value obtained for the calculated total energy is -23.03 eV per formula unit. The energy of formation from the pure elements is 75 kJ per mole of atoms. The calculation puts the volume at 193.4 Å³ per cell.

a = 6.1676 Å, b = 11.3883 Å, c = 3.2078 Å
α = 90.00°, β = 120.88°, γ = 90.00°
Space group C2/m (No. 12)
Asymmetric unit:
Ba: 0.0000 0.0000 0.0000 x2
Zr: 0.2500 0.2500 0.5000 x4
Co: 0.0000 0.5000 0.0000 x2



Record 8
Here is a geometry-optimized Sr3Ta structure from Alexandria via LeMat-Bulk. Energies are from PBE-GGA.

Properties
The value obtained for the calculated total energy is -13.57 eV per formula unit. The energy of formation from the pure elements is 80 kJ per mole of atoms. The calculation puts the volume at 671.9 Å³ per cell.

a = 9.3357 Å, b = 10.4929 Å, c = 6.8592 Å
α = 90.00°, β = 90.00°, γ = 90.00°
Space group Pnma (No. 62)
Asymmetric unit:
Sr: 0.0295 0.2500 0.1048 x4
Sr: 0.1728 0.0584 0.6228 x8
Ta: 0.1226 0.7500 0.4192 x4



Record 9
Here is a geometry-optimized HoTh2Fe structure from Alexandria via LeMat-Bulk. Energies are from PBE-GGA.

Properties
The value obtained for the calculated total energy is -27.76 eV per formula unit. The energy of formation from the pure elements is 3 kJ per mole of atoms. The calculation puts the volume at 332.4 Å³ per cell.

a = 3.7764 Å, b = 3.7764 Å, c = 26.9180 Å
α = 90.00°, β = 90.00°, γ = 120.00°
Space group R-3m (No. 166, hexagonal axes)
Asymmetric unit:
Ho: 0.0000 0.0000 0.0000 x3
Th: 0.0000 0.0000 0.2254 x6
Fe: 0.0000 0.0000 0.5000 x3



Record 10
Here is a geometry-optimized TaFeP2 structure from Alexandria via LeMat-Bulk. Energies are from PBE-GGA.

Properties
The value obtained for the calculated total energy is -30.39 eV per formula unit. The energy of formation from the pure elements is 18 kJ per mole of atoms. The calculation puts the volume at 221.9 Å³ per cell.

a = 6.0543 Å, b = 6.0543 Å, c = 6.0543 Å
α = 90.00°, β = 90.00°, γ = 90.00°
Space group F-43m (No. 216)
Asymmetric unit:
Ta: 0.0000 0.0000 0.0000 x4
Fe: 0.2500 0.2500 0.7500 x4
P: 0.0000 0.0000 0.5000 x4
P: 0.2500 0.2500 0.2500 x4



Record 11
Here is a geometry-optimized Y4TlSb structure from Alexandria via LeMat-Bulk. Energies are from PBE-GGA.

Properties
The value obtained for the calculated total energy is -31.68 eV per formula unit. The formation energy (no corrections) comes out at 11 kJ per mole of atoms. The calculation puts the volume at 720.2 Å³ per cell.

a = 8.9638 Å, b = 8.9638 Å, c = 8.9638 Å
α = 90.00°, β = 90.00°, γ = 90.00°
Space group F-43m (No. 216)
Asymmetric unit:
Y: 0.1251 0.1251 0.1251 x16
Tl: 0.0000 0.0000 0.5000 x4
Sb: 0.2500 0.2500 0.7500 x4



Record 12
Here is a geometry-optimized GaRe2Tc structure from Alexandria via LeMat-Bulk. Energies are from PBE-GGA.

Properties
The value obtained for the calculated total energy is -36.03 eV per formula unit. The energy of formation from the pure elements is 55 kJ per mole of atoms. The calculation puts the volume at 187.2 Å³ per cell.

a = 2.7904 Å, b = 2.7904 Å, c = 27.7551 Å
α = 90.00°, β = 90.00°, γ = 120.00°
Space group R-3m (No. 166, hexagonal axes)
Asymmetric unit:
Ga: 0.0000 0.0000 0.0000 x3
Re: 0.0000 0.0000 0.4135 x6
Tc: 0.0000 0.0000 0.5000 x3



Record 13
Here is a geometry-optimized TaOsF3 structure from Alexandria via LeMat-Bulk. Energies are from PBE-GGA.

Properties
The value obtained for the calculated total energy is -26.30 eV per formula unit. The formation energy (no corrections) comes out at 46 kJ per mole of atoms. The calculation puts the volume at 76.8 Å³ per cell.

a = 4.2500 Å, b = 4.2500 Å, c = 4.2500 Å
α = 90.00°, β = 90.00°, γ = 90.00°
Space group Pm-3m (No. 221)
Asymmetric unit:
Ta: 0.0000 0.0000 0.0000 x1
Os: 0.5000 0.5000 0.5000 x1
F: 0.0000 0.5000 0.5000 x3



Record 14
Here is a geometry-optimized ErPuCu2 structure from Alexandria via LeMat-Bulk. Energies are from PBE-GGA.

Properties
The value obtained for the calculated total energy is -27.22 eV per formula unit. The energy of formation from the pure elements is -3 kJ per mole of atoms. The calculation puts the volume at 332.2 Å³ per cell.

a = 6.9256 Å, b = 6.9256 Å, c = 6.9256 Å
α = 90.00°, β = 90.00°, γ = 90.00°
Space group Fm-3m (No. 225)
Asymmetric unit:
Er: 0.0000 0.0000 0.0000 x4
Pu: 0.0000 0.0000 0.5000 x4
Cu: 0.2500 0.2500 0.2500 x8



Record 15
Here is a geometry-optimized BaP2Ru structure from Alexandria via LeMat-Bulk. Energies are from PBE-GGA.

Properties
The value obtained for the calculated total energy is -23.78 eV per formula unit. The energy of formation from the pure elements is -43 kJ per mole of atoms. The calculation puts the volume at 193.5 Å³ per cell.

a = 4.1069 Å, b = 6.4331 Å, c = 7.3249 Å
α = 90.00°, β = 90.00°, γ = 90.00°
Space group Immm (No. 71)
Asymmetric unit:
Ba: 0.0000 0.0000 0.0000 x2
P: 0.0000 0.5000 0.1516 x4
Ru: 0.0000 0.0000 0.5000 x2



Record 16
Here is a geometry-optimized RhI2Br structure from Alexandria via LeMat-Bulk. Energies are from PBE-GGA.

Properties
The value obtained for the calculated total energy is -9.30 eV per formula unit. The formation energy (no corrections) comes out at 68 kJ per mole of atoms. The calculation puts the volume at 398.1 Å³ per cell.

a = 7.3566 Å, b = 7.3566 Å, c = 7.3566 Å
α = 90.00°, β = 90.00°, γ = 90.00°
Space group Fm-3m (No. 225)
Asymmetric unit:
Rh: 0.0000 0.0000 0.0000 x4
I: 0.2500 0.2500 0.2500 x8
Br: 0.0000 0.0000 0.5000 x4



Record 17
Here is a geometry-optimized PrSmHg structure from Alexandria via LeMat-Bulk. Energies are from PBE-GGA.

Properties
The value obtained for the calculated total energy is -10.72 eV per formula unit. The energy of formation from the pure elements is -29 kJ per mole of atoms. The calculation puts the volume at 366.1 Å³ per cell.

a = 7.4728 Å, b = 3.7690 Å, c = 12.9986 Å
α = 90.00°, β = 90.00°, γ = 90.00°
Space group Pnma (No. 62)
Asymmetric unit:
Pr: 0.1304 0.2500 0.0924 x4
Sm: 0.1196 0.2500 0.3981 x4
Hg: 0.1247 0.2500 0.7561 x4



Record 18
Here is a geometry-optimized Fe2AgMo structure from Alexandria via LeMat-Bulk. Energies are from PBE-GGA.

Properties
The value obtained for the calculated total energy is -29.11 eV per formula unit. The energy of formation from the pure elements is 36 kJ per mole of atoms. The calculation puts the volume at 57.2 Å³ per cell.

a = 2.6303 Å, b = 4.0888 Å, c = 5.4004 Å
α = 90.00°, β = 100.18°, γ = 90.00°
Space group Pm (No. 6)
Asymmetric unit:
Fe: 0.0000 0.0000 0.0000 x1
Fe: 0.3980 0.5000 0.2231 x1
Ag: 0.4676 0.5000 0.7395 x1
Mo: 0.8685 0.0000 0.4418 x1



Record 19
Here is a geometry-optimized SrCoBr3 structure from Alexandria via LeMat-Bulk. Energies are from PBE-GGA.

Properties
The value obtained for the calculated total energy is -15.76 eV per formula unit. The formation energy (no corrections) comes out at -38 kJ per mole of atoms. The calculation puts the volume at 206.3 Å³ per cell.

a = 5.9090 Å, b = 5.9090 Å, c = 5.9090 Å
α = 90.00°, β = 90.00°, γ = 90.00°
Space group Pm-3m (No. 221)
Asymmetric unit:
Sr: 0.0000 0.0000 0.0000 x1
Co: 0.5000 0.5000 0.5000 x1
Br: 0.0000 0.0000 0.5000 x3



Record 20
Here is a geometry-optimized YTmTlSn structure from Alexandria via LeMat-Bulk. Energies are from PBE-GGA.

Properties
The value obtained for the calculated total energy is -19.05 eV per formula unit. The energy of formation from the pure elements is -42 kJ per mole of atoms. The calculation puts the volume at 429.5 Å³ per cell.

a = 7.5447 Å, b = 7.5447 Å, c = 7.5447 Å
α = 90.00°, β = 90.00°, γ = 90.00°
Space group F-43m (No. 216)
Asymmetric unit:
Y: 0.0000 0.0000 0.0000 x4
Tm: 0.0000 0.0000 0.5000 x4
Tl: 0.2500 0.2500 0.2500 x4
Sn: 0.2500 0.2500 0.7500 x4